[1]
# Er3Ga2Pd

An optimized crystal structure of Er3Ga2Pd (GGA-PBE, the Alexandria database).

Output
Crystal system: tetragonal
E above lowest polymorph: 0 meV/atom
Energy: -4.852 eV/atom

a b c (Å): 3.5290 3.5290 10.5224
angles (deg): 90.00 90.00 90.00
Atoms (fractional coordinates):
Er 0.0000 0.0000 0.0000
Er 0.0000 0.0000 0.6604
Er 0.0000 0.0000 0.3396
Ga 0.5000 0.5000 0.8313
Ga 0.5000 0.5000 0.1687
Pd 0.5000 0.5000 0.5000

=====

[2]
# NaLiAgGe

An optimized crystal structure of NaLiAgGe (GGA-PBE, the Alexandria database).

Output
Crystal system: cubic
Energy: -2.815 eV/atom

a b c (Å): 4.6795 4.6795 4.6795
angles (deg): 60.00 60.00 60.00
Atoms (fractional coordinates):
Na 0.7500 0.7500 0.7500
Ge 0.2500 0.2500 0.2500
Ag 0.5000 0.5000 0.5000
Li 0.0000 0.0000 0.0000

=====

[3]
# KTa2Ru

An optimized crystal structure of KTa2Ru (GGA-PBE, the Alexandria database).

Output
Crystal system: orthorhombic
E above lowest polymorph: 838 meV/atom
Energy: -7.194 eV/atom

a b c (Å): 5.7274 5.7274 2.7218
angles (deg): 90.00 90.00 119.79
Atoms (fractional coordinates):
K 0.5000 0.0000 0.5000
Ru 0.0000 0.5000 0.5000
Ta 0.0000 0.0000 0.0000
Ta 0.5000 0.5000 0.0000

=====

Here are the calculated energy relative to the elements numbers, same order: -0.696 -0.140 1.325 (eV per atom).